LiPrNi: relaxed, PBE-GGA.

Computed properties:
SG: F-43m
E (eV/atom): -3.798

Cell lengths 4.4367, 4.4367, 4.4367 Å; angles 60.00, 60.00, 60.00 degrees
Last column: nearest neighbours and their distance in Å.
Element x y z (fractional)
Pr: 0.7500 0.7500 0.7500  4 Li 2.72
Li: 0.0000 0.0000 0.0000  4 Ni 2.72, 4 Pr 2.72
Ni: 0.2500 0.2500 0.2500  4 Li 2.72